Record 1
Computed, not measured: an optimized crystal structure of SrCu2Hg2 at the PBE-GGA level of DFT.

Lattice parameters (Å, degrees): 4.604 4.604 6.277 68.49 68.49 90.00
Positions (direct):
Cu  0.389  0.389  0.222
Hg  0.250  0.750  0.500
Hg  0.750  0.250  0.500
Cu  0.611  0.611  0.778
Sr  0.000  0.000  0.000

Summary:
Electronic total energy: -11.2 eV for the cell shown
Total magnetic moment: 0.00 Bohr magnetons per cell
Calculated volume: 114 Å³/f.u.
Space-group type: I4/mmm
Relative energy among the computed polymorphs: 0.0 meV/atom

***

Record 2
Computed, not measured: an optimized crystal structure of Mg2TaS at the PBE-GGA level of DFT.

Lattice parameters (Å, degrees): 7.800 7.800 6.055 49.90 49.90 90.00
Positions (direct):
Ta  0.750  0.250  0.500
S  0.250  0.750  0.500
Mg  0.375  0.438  0.750
Mg  0.875  0.812  0.750
Mg  0.188  0.625  0.250
Ta  0.000  0.000  0.000
S  0.500  0.500  0.000
Mg  0.562  0.125  0.250

Summary:
Electronic total energy: -36.9 eV for the cell shown
Total magnetic moment: 0.00 Bohr magnetons per cell
Calculated volume: 76 Å³/f.u.
Space-group type: I-42d
Formation energy (no corrections): 0.17 eV per atom

***

Record 3
Computed, not measured: an optimized crystal structure of MoCl3 at the PBE-GGA level of DFT.

Lattice parameters (Å, degrees): 5.769 5.769 13.593 89.33 89.33 114.85
Last column: magnetic moment on the atom in μB.
Positions (direct):
Cl  0.337  0.325  0.653  0.01
Cl  0.678  0.008  0.623  0.03
Mo  0.299  0.701  0.250  0.82
Mo  0.701  0.299  0.750  0.82
Cl  0.325  0.337  0.153  0.01
Mo  0.968  0.032  0.750  0.82
Mo  0.032  0.968  0.250  0.82
Cl  0.333  0.006  0.847  0.01
Cl  0.675  0.663  0.847  0.01
Cl  0.992  0.322  0.877  0.03
Cl  0.994  0.667  0.653  0.01
Cl  0.667  0.994  0.153  0.01
Cl  0.322  0.992  0.377  0.03
Cl  0.006  0.333  0.347  0.01
Cl  0.008  0.678  0.123  0.03
Cl  0.663  0.675  0.347  0.01

Summary:
Electronic total energy: -79.2 eV for the cell shown
Total magnetic moment: 3.99 Bohr magnetons per cell
Calculated volume: 103 Å³/f.u.
Space-group type: C2/c
Formation energy (no corrections): -0.86 eV per atom
Relative energy among the computed polymorphs: 0.1 meV/atom

***

Record 4
Computed, not measured: an optimized crystal structure of MgZrSc2 at the PBE-GGA level of DFT.

Lattice parameters (Å, degrees): 3.214 4.516 6.459 90.00 90.00 90.00
Positions (direct):
Sc  0.000  0.000  0.004
Mg  0.500  0.500  0.747
Zr  0.000  0.000  0.488
Sc  0.500  0.500  0.261

Summary:
Electronic total energy: -22.7 eV for the cell shown
Total magnetic moment: 0.00 Bohr magnetons per cell
Calculated volume: 94 Å³/f.u.
Space-group type: Pmm2

***

Record 5
Computed, not measured: an optimized crystal structure of MnInCuSb2 at the PBE-GGA level of DFT.

Lattice parameters (Å, degrees): 5.112 4.836 5.112 90.00 90.00 90.00
Last column: magnetic moment on the atom in μB.
Positions (direct):
Cu  0.000  0.000  0.000  0.05
Sb  0.000  0.000  0.500  0.00
In  0.500  0.500  0.500  0.01
Sb  0.500  0.000  0.000  0.02
Mn  0.000  0.500  0.000  4.13

Summary:
Electronic total energy: -21.9 eV for the cell shown
Total magnetic moment: 4.58 Bohr magnetons per cell
Calculated volume: 126 Å³/f.u.
Space-group type: P4/mmm
Formation energy (no corrections): 0.48 eV per atom

***

Record 6
Computed, not measured: an optimized crystal structure of CaNiP2S at the PBE-GGA level of DFT.

Lattice parameters (Å, degrees): 4.318 4.318 5.169 90.00 90.00 90.00
Last column: magnetic moment on the atom in μB.
Positions (direct):
Ni  0.000  0.000  0.000  0.17
Ca  0.500  0.500  0.500  0.01
P  0.500  0.000  0.000  0.11
P  0.000  0.500  0.000  0.11
S  0.000  0.000  0.500  0.08

Summary:
Electronic total energy: -23.9 eV for the cell shown
Total magnetic moment: 0.80 Bohr magnetons per cell
Calculated volume: 96 Å³/f.u.
Space-group type: P4/mmm
Formation energy (no corrections): -0.24 eV per atom
Relative energy among the computed polymorphs: 0.0 meV/atom

***

Record 7
Computed, not measured: an optimized crystal structure of Mn3Br2Cl4 at the PBE-GGA level of DFT.

Lattice parameters (Å, degrees): 3.619 3.619 21.342 90.00 90.00 120.00
Last column: magnetic moment on the atom in μB.
Positions (direct):
Cl  0.667  0.333  0.254  -0.10
Mn  0.667  0.333  0.650  -4.43
Mn  0.000  0.000  0.327  -4.43
Cl  0.000  0.000  0.723  -0.10
Cl  0.667  0.333  0.399  -0.10
Cl  0.000  0.000  0.578  -0.10
Br  0.667  0.333  0.062  -0.13
Br  0.667  0.333  0.902  -0.13
Mn  0.000  0.000  0.982  -4.36

Summary:
Electronic total energy: -45.8 eV for the cell shown
Total magnetic moment: 15.00 Bohr magnetons per cell
Calculated volume: 242 Å³/f.u.
Space-group type: P3m1
Formation energy (no corrections): -0.84 eV per atom

***

Record 8
Computed, not measured: an optimized crystal structure of Na2HoInS4 at the PBE-GGA level of DFT.

Lattice parameters (Å, degrees): 3.904 6.769 7.105 108.86 90.00 90.00
Positions (direct):
S  0.000  0.744  0.228
S  0.500  0.768  0.779
In  0.000  0.000  0.000
Ho  0.500  0.500  0.000
Na  0.000  0.500  0.500
Na  0.500  0.000  0.500
S  0.000  0.256  0.772
S  0.500  0.232  0.221

Summary:
Electronic total energy: -37.2 eV for the cell shown
Total magnetic moment: 0.00 Bohr magnetons per cell
Calculated volume: 178 Å³/f.u.
Space-group type: P2/m
Formation energy (no corrections): -1.34 eV per atom

***

Record 9
Computed, not measured: an optimized crystal structure of TlGa2Au at the PBE-GGA level of DFT.

Lattice parameters (Å, degrees): 4.966 4.966 4.966 60.00 60.00 60.00
Positions (direct):
Ga  0.750  0.750  0.750
Tl  0.500  0.500  0.500
Ga  0.250  0.250  0.250
Au  0.000  0.000  0.000

Summary:
Electronic total energy: -11.4 eV for the cell shown
Total magnetic moment: 0.00 Bohr magnetons per cell
Calculated volume: 87 Å³/f.u.
Space-group type: Fm-3m
Relative energy among the computed polymorphs: 149.3 meV/atom

***

Record 10
Computed, not measured: an optimized crystal structure of Ce4SnSb5 at the PBE-GGA level of DFT.

Lattice parameters (Å, degrees): 5.811 6.351 9.622 70.36 107.58 90.00
Last column: magnetic moment on the atom in μB.
Positions (direct):
Sn  0.500  0.000  0.000  0.00
Ce  0.990  0.258  0.981  0.58
Ce  0.667  0.094  0.335  0.51
Sb  0.167  0.844  0.334  -0.01
Sb  0.831  0.677  0.663  -0.01
Sb  0.500  0.500  0.000  -0.02
Ce  0.010  0.742  0.019  0.58
Sb  0.169  0.323  0.337  -0.01
Sb  0.833  0.156  0.666  -0.01
Ce  0.333  0.906  0.665  0.51

Summary:
Electronic total energy: -54.8 eV for the cell shown
Total magnetic moment: 2.50 Bohr magnetons per cell
Calculated volume: 317 Å³/f.u.
Space-group type: C2/m
Formation energy (no corrections): -0.65 eV per atom
Relative energy among the computed polymorphs: 126.4 meV/atom

***

Record 11
Computed, not measured: an optimized crystal structure of CeTlAgSe3 at the PBE-GGA level of DFT.

Lattice parameters (Å, degrees): 4.291 8.927 9.582 105.49 90.00 90.00
Last column: magnetic moment on the atom in μB.
Positions (direct):
Tl  0.750  0.799  0.754  0.00
Ce  0.250  0.680  0.161  0.20
Se  0.750  0.239  0.533  -0.01
Ce  0.750  0.320  0.839  0.20
Se  0.750  0.880  0.122  -0.01
Se  0.750  0.456  0.153  -0.01
Tl  0.250  0.201  0.246  0.00
Se  0.250  0.120  0.878  -0.01
Se  0.250  0.544  0.847  -0.01
Se  0.250  0.761  0.467  -0.01
Ag  0.750  0.918  0.407  -0.01
Ag  0.250  0.082  0.593  -0.01

Summary:
Electronic total energy: -54.9 eV for the cell shown
Total magnetic moment: 0.28 Bohr magnetons per cell
Calculated volume: 177 Å³/f.u.
Space-group type: P2_1/m
Formation energy (no corrections): -0.97 eV per atom

***

Record 12
Computed, not measured: an optimized crystal structure of LaPmGdGa at the PBE-GGA level of DFT.

Lattice parameters (Å, degrees): 5.475 5.475 5.475 60.00 60.00 60.00
Last column: magnetic moment on the atom in μB.
Positions (direct):
La  0.000  0.000  0.000  -0.20
Ga  0.750  0.750  0.750  0.02
Gd  0.500  0.500  0.500  -7.32
Pm  0.250  0.250  0.250  -0.38

Summary:
Electronic total energy: -27.2 eV for the cell shown
Total magnetic moment: 8.65 Bohr magnetons per cell
Calculated volume: 116 Å³/f.u.
Space-group type: F-43m